The following is a GGA-PBE calculation of an optimized crystal structure of SmPaRhN3, from the Alexandria database.

Results
Uncorrected formation energy   -0.930 eV/atom
Crystal system   monoclinic
D(E_F)   3.25 states/eV/cell
Electronic total energy   -8.687 eV/atom

Cell and atoms, written as CIF:
```
data_SmPaRhN3
_chemical_formula_sum 'Sm2 Pa2 Rh2 N6'
_cell_length_a 7.166
_cell_length_b 3.437
_cell_length_c 7.716
_cell_angle_alpha 90.00
_cell_angle_beta 97.33
_cell_angle_gamma 90.00
_space_group_name_H-M_alt 'P 1'
_space_group_IT_number 1
_space_group_name_Hall 'P 1'
loop_
_atom_site_label
_atom_site_type_symbol
_atom_site_fract_x
_atom_site_fract_y
_atom_site_fract_z
Sm1 Sm 0.148 0.250 0.195
Sm2 Sm 0.852 0.750 0.805
Pa1 Pa 0.351 0.750 0.830
Pa2 Pa 0.649 0.250 0.170
Rh1 Rh 0.125 0.250 0.582
Rh2 Rh 0.875 0.750 0.418
N1 N 0.137 0.250 0.871
N2 N 0.168 0.750 0.428
N3 N 0.425 0.750 0.125
N4 N 0.575 0.250 0.875
N5 N 0.832 0.250 0.572
N6 N 0.863 0.750 0.129
```

***

The following is a GGA-PBE calculation of an optimized crystal structure of SmPa2RhN4, from the Alexandria database.

Results
Uncorrected formation energy   -1.282 eV/atom
Crystal system   orthorhombic
D(E_F)   3.08 states/eV/cell
Electronic total energy   -9.328 eV/atom

Cell and atoms, written as CIF:
```
data_SmPa2RhN4
_chemical_formula_sum 'Sm2 Pa4 Rh2 N8'
_cell_length_a 6.033
_cell_length_b 6.033
_cell_length_c 11.726
_cell_angle_alpha 90.00
_cell_angle_beta 90.00
_cell_angle_gamma 145.94
_space_group_name_H-M_alt 'P 1'
_space_group_IT_number 1
_space_group_name_Hall 'P 1'
loop_
_atom_site_label
_atom_site_type_symbol
_atom_site_fract_x
_atom_site_fract_y
_atom_site_fract_z
Sm1 Sm 0.107 0.893 0.750
Sm2 Sm 0.893 0.107 0.250
Pa1 Pa 0.369 0.631 0.563
Pa2 Pa 0.369 0.631 0.937
Pa3 Pa 0.631 0.369 0.063
Pa4 Pa 0.631 0.369 0.437
Rh1 Rh 0.156 0.844 0.250
Rh2 Rh 0.844 0.156 0.750
N1 N 0.000 0.000 0.000
N2 N 0.000 0.000 0.500
N3 N 0.270 0.730 0.100
N4 N 0.270 0.730 0.400
N5 N 0.465 0.535 0.750
N6 N 0.535 0.465 0.250
N7 N 0.730 0.270 0.600
N8 N 0.730 0.270 0.900
```

***

The following is a GGA-PBE calculation of an optimized crystal structure of Pa2SnRhN5, from the Alexandria database.

Results
Uncorrected formation energy   -0.585 eV/atom
Crystal system   orthorhombic
D(E_F)   8.60 states/eV/cell
Electronic total energy   -8.582 eV/atom

Cell and atoms, written as CIF:
```
data_Pa2SnRhN5
_chemical_formula_sum 'Pa4 Sn2 Rh2 N10'
_cell_length_a 6.874
_cell_length_b 6.874
_cell_length_c 10.297
_cell_angle_alpha 90.00
_cell_angle_beta 90.00
_cell_angle_gamma 151.63
_space_group_name_H-M_alt 'P 1'
_space_group_IT_number 1
_space_group_name_Hall 'P 1'
loop_
_atom_site_label
_atom_site_type_symbol
_atom_site_fract_x
_atom_site_fract_y
_atom_site_fract_z
Pa1 Pa 0.091 0.909 0.500
Pa2 Pa 0.146 0.854 0.125
Pa3 Pa 0.854 0.146 0.625
Pa4 Pa 0.909 0.091 0.000
Sn1 Sn 0.209 0.791 0.835
Sn2 Sn 0.791 0.209 0.335
Rh1 Rh 0.477 0.523 0.271
Rh2 Rh 0.523 0.477 0.771
N1 N 0.057 0.943 0.897
N2 N 0.272 0.728 0.497
N3 N 0.322 0.678 0.200
N4 N 0.371 0.629 0.827
N5 N 0.480 0.520 0.585
N6 N 0.520 0.480 0.085
N7 N 0.629 0.371 0.327
N8 N 0.678 0.322 0.700
N9 N 0.728 0.272 0.997
N10 N 0.943 0.057 0.397
```

***

The following is a GGA-PBE calculation of an optimized crystal structure of SrPa2RhN4, from the Alexandria database.

Results
Uncorrected formation energy   -1.203 eV/atom
Crystal system   orthorhombic
D(E_F)   3.38 states/eV/cell
Electronic total energy   -8.869 eV/atom

Cell and atoms, written as CIF:
```
data_SrPa2RhN4
_chemical_formula_sum 'Sr2 Pa4 Rh2 N8'
_cell_length_a 6.202
_cell_length_b 6.202
_cell_length_c 11.975
_cell_angle_alpha 90.00
_cell_angle_beta 90.00
_cell_angle_gamma 147.11
_space_group_name_H-M_alt 'P 1'
_space_group_IT_number 1
_space_group_name_Hall 'P 1'
loop_
_atom_site_label
_atom_site_type_symbol
_atom_site_fract_x
_atom_site_fract_y
_atom_site_fract_z
Sr1 Sr 0.101 0.899 0.750
Sr2 Sr 0.899 0.101 0.250
Pa1 Pa 0.367 0.633 0.560
Pa2 Pa 0.367 0.633 0.940
Pa3 Pa 0.633 0.367 0.060
Pa4 Pa 0.633 0.367 0.440
Rh1 Rh 0.163 0.837 0.250
Rh2 Rh 0.837 0.163 0.750
N1 N 0.000 0.000 0.000
N2 N 0.000 0.000 0.500
N3 N 0.263 0.737 0.094
N4 N 0.263 0.737 0.406
N5 N 0.441 0.559 0.750
N6 N 0.559 0.441 0.250
N7 N 0.737 0.263 0.594
N8 N 0.737 0.263 0.906
```

***

The following is a GGA-PBE calculation of an optimized crystal structure of Sr4Pa3RhN8, from the Alexandria database.

Results
Uncorrected formation energy   -1.085 eV/atom
Crystal system   monoclinic
D(E_F)   1.10 states/eV/cell
Electronic total energy   -7.908 eV/atom

Cell and atoms, written as CIF:
```
data_Sr4Pa3RhN8
_chemical_formula_sum 'Sr4 Pa3 Rh1 N8'
_cell_length_a 7.293
_cell_length_b 7.293
_cell_length_c 7.091
_cell_angle_alpha 118.50
_cell_angle_beta 118.50
_cell_angle_gamma 56.45
_space_group_name_H-M_alt 'P 1'
_space_group_IT_number 1
_space_group_name_Hall 'P 1'
loop_
_atom_site_label
_atom_site_type_symbol
_atom_site_fract_x
_atom_site_fract_y
_atom_site_fract_z
Sr1 Sr 0.000 0.000 0.000
Sr2 Sr 0.000 0.500 0.000
Sr3 Sr 0.500 0.000 0.000
Sr4 Sr 0.500 0.500 0.000
Pa1 Pa 0.000 0.000 0.500
Pa2 Pa 0.000 0.500 0.500
Pa3 Pa 0.500 0.000 0.500
Rh1 Rh 0.500 0.500 0.500
N1 N 0.223 0.730 0.690
N2 N 0.224 0.224 0.277
N3 N 0.232 0.232 0.705
N4 N 0.270 0.777 0.310
N5 N 0.730 0.223 0.690
N6 N 0.768 0.768 0.295
N7 N 0.776 0.776 0.723
N8 N 0.777 0.270 0.310
```

***

The following is a GGA-PBE calculation of an optimized crystal structure of SrPa2RhN5, from the Alexandria database.

Results
Uncorrected formation energy   -1.028 eV/atom
Crystal system   tetragonal
D(E_F)   1.39 states/eV/cell
Electronic total energy   -8.768 eV/atom

Cell and atoms, written as CIF:
```
data_SrPa2RhN5
_chemical_formula_sum 'Sr2 Pa4 Rh2 N10'
_cell_length_a 7.550
_cell_length_b 7.550
_cell_length_c 7.550
_cell_angle_alpha 128.10
_cell_angle_beta 128.10
_cell_angle_gamma 76.46
_space_group_name_H-M_alt 'P 1'
_space_group_IT_number 1
_space_group_name_Hall 'P 1'
loop_
_atom_site_label
_atom_site_type_symbol
_atom_site_fract_x
_atom_site_fract_y
_atom_site_fract_z
Sr1 Sr 0.250 0.250 0.000
Sr2 Sr 0.750 0.750 0.000
Pa1 Pa 0.181 0.681 0.861
Pa2 Pa 0.319 0.181 0.500
Pa3 Pa 0.681 0.819 0.500
Pa4 Pa 0.819 0.319 0.139
Rh1 Rh 0.250 0.750 0.500
Rh2 Rh 0.750 0.250 0.500
N1 N 0.000 0.000 0.000
N2 N 0.015 0.242 0.500
N3 N 0.242 0.742 0.227
N4 N 0.258 0.485 0.500
N5 N 0.485 0.985 0.227
N6 N 0.500 0.500 0.000
N7 N 0.515 0.015 0.773
N8 N 0.742 0.515 0.500
N9 N 0.758 0.258 0.773
N10 N 0.985 0.758 0.500
```

***

The following is a GGA-PBE calculation of an optimized crystal structure of Tb3Pa3RhN8, from the Alexandria database.

Results
Uncorrected formation energy   -1.252 eV/atom
Crystal system   trigonal
D(E_F)   6.13 states/eV/cell
Electronic total energy   -9.008 eV/atom

Cell and atoms, written as CIF:
```
data_Tb3Pa3RhN8
_chemical_formula_sum 'Tb3 Pa3 Rh1 N8'
_cell_length_a 6.870
_cell_length_b 6.870
_cell_length_c 6.870
_cell_angle_alpha 59.51
_cell_angle_beta 59.51
_cell_angle_gamma 59.51
_space_group_name_H-M_alt 'P 1'
_space_group_IT_number 1
_space_group_name_Hall 'P 1'
loop_
_atom_site_label
_atom_site_type_symbol
_atom_site_fract_x
_atom_site_fract_y
_atom_site_fract_z
Tb1 Tb 0.000 0.500 0.500
Tb2 Tb 0.500 0.000 0.500
Tb3 Tb 0.500 0.500 0.000
Pa1 Pa 0.000 0.000 0.500
Pa2 Pa 0.000 0.500 0.000
Pa3 Pa 0.500 0.000 0.000
Rh1 Rh 0.500 0.500 0.500
N1 N 0.248 0.248 0.248
N2 N 0.250 0.734 0.734
N3 N 0.266 0.266 0.750
N4 N 0.266 0.750 0.266
N5 N 0.734 0.250 0.734
N6 N 0.734 0.734 0.250
N7 N 0.750 0.266 0.266
N8 N 0.752 0.752 0.752
```

***

The following is a GGA-PBE calculation of an optimized crystal structure of TbPa2RhN5, from the Alexandria database.

Results
Uncorrected formation energy   -1.091 eV/atom
Crystal system   orthorhombic
D(E_F)   5.69 states/eV/cell
Electronic total energy   -9.158 eV/atom

Cell and atoms, written as CIF:
```
data_TbPa2RhN5
_chemical_formula_sum 'Tb2 Pa4 Rh2 N10'
_cell_length_a 6.958
_cell_length_b 6.958
_cell_length_c 10.346
_cell_angle_alpha 90.00
_cell_angle_beta 90.00
_cell_angle_gamma 151.80
_space_group_name_H-M_alt 'P 1'
_space_group_IT_number 1
_space_group_name_Hall 'P 1'
loop_
_atom_site_label
_atom_site_type_symbol
_atom_site_fract_x
_atom_site_fract_y
_atom_site_fract_z
Tb1 Tb 0.199 0.801 0.500
Tb2 Tb 0.801 0.199 0.000
Pa1 Pa 0.107 0.893 0.184
Pa2 Pa 0.139 0.861 0.797
Pa3 Pa 0.861 0.139 0.297
Pa4 Pa 0.893 0.107 0.684
Rh1 Rh 0.478 0.522 0.957
Rh2 Rh 0.522 0.478 0.457
N1 N 0.044 0.956 0.585
N2 N 0.281 0.719 0.178
N3 N 0.334 0.666 0.846
N4 N 0.369 0.631 0.502
N5 N 0.480 0.520 0.273
N6 N 0.520 0.480 0.773
N7 N 0.631 0.369 0.002
N8 N 0.666 0.334 0.346
N9 N 0.719 0.281 0.678
N10 N 0.956 0.044 0.085
```

***

The following is a GGA-PBE calculation of an optimized crystal structure of ThPa2RhN4, from the Alexandria database.

Results
Uncorrected formation energy   -1.326 eV/atom
Crystal system   orthorhombic
D(E_F)   4.84 states/eV/cell
Electronic total energy   -9.709 eV/atom

Cell and atoms, written as CIF:
```
data_ThPa2RhN4
_chemical_formula_sum 'Th2 Pa4 Rh2 N8'
_cell_length_a 6.115
_cell_length_b 6.115
_cell_length_c 11.624
_cell_angle_alpha 90.00
_cell_angle_beta 90.00
_cell_angle_gamma 146.65
_space_group_name_H-M_alt 'P 1'
_space_group_IT_number 1
_space_group_name_Hall 'P 1'
loop_
_atom_site_label
_atom_site_type_symbol
_atom_site_fract_x
_atom_site_fract_y
_atom_site_fract_z
Th1 Th 0.111 0.889 0.750
Th2 Th 0.889 0.111 0.250
Pa1 Pa 0.370 0.630 0.561
Pa2 Pa 0.370 0.630 0.939
Pa3 Pa 0.630 0.370 0.061
Pa4 Pa 0.630 0.370 0.439
Rh1 Rh 0.160 0.840 0.250
Rh2 Rh 0.840 0.160 0.750
N1 N 0.000 0.000 0.000
N2 N 0.000 0.000 0.500
N3 N 0.280 0.720 0.108
N4 N 0.280 0.720 0.392
N5 N 0.470 0.530 0.750
N6 N 0.530 0.470 0.250
N7 N 0.720 0.280 0.608
N8 N 0.720 0.280 0.892
```

***

The following is a GGA-PBE calculation of an optimized crystal structure of ThPaRhN4, from the Alexandria database.

Results
Uncorrected formation energy   -0.881 eV/atom
Crystal system   tetragonal
D(E_F)   1.99 states/eV/cell
Electronic total energy   -9.105 eV/atom

Cell and atoms, written as CIF:
```
data_ThPaRhN4
_chemical_formula_sum 'Th1 Pa1 Rh1 N4'
_cell_length_a 6.640
_cell_length_b 6.640
_cell_length_c 6.640
_cell_angle_alpha 145.49
_cell_angle_beta 145.49
_cell_angle_gamma 49.61
_space_group_name_H-M_alt 'P 1'
_space_group_IT_number 1
_space_group_name_Hall 'P 1'
loop_
_atom_site_label
_atom_site_type_symbol
_atom_site_fract_x
_atom_site_fract_y
_atom_site_fract_z
Th1 Th 0.000 0.000 0.000
Pa1 Pa 0.723 0.723 0.000
Rh1 Rh 0.364 0.364 0.000
N1 N 0.183 0.183 0.000
N2 N 0.342 0.842 0.500
N3 N 0.542 0.542 0.000
N4 N 0.842 0.342 0.500
```

***

The following is a GGA-PBE calculation of an optimized crystal structure of Pa2TiRhN5, from the Alexandria database.

Results
Uncorrected formation energy   -1.174 eV/atom
Crystal system   orthorhombic
D(E_F)   6.23 states/eV/cell
Electronic total energy   -9.604 eV/atom

Cell and atoms, written as CIF:
```
data_Pa2TiRhN5
_chemical_formula_sum 'Pa4 Ti2 Rh2 N10'
_cell_length_a 6.626
_cell_length_b 6.626
_cell_length_c 10.222
_cell_angle_alpha 90.00
_cell_angle_beta 90.00
_cell_angle_gamma 151.18
_space_group_name_H-M_alt 'P 1'
_space_group_IT_number 1
_space_group_name_Hall 'P 1'
loop_
_atom_site_label
_atom_site_type_symbol
_atom_site_fract_x
_atom_site_fract_y
_atom_site_fract_z
Pa1 Pa 0.102 0.898 0.500
Pa2 Pa 0.148 0.852 0.128
Pa3 Pa 0.852 0.148 0.628
Pa4 Pa 0.898 0.102 0.000
Ti1 Ti 0.202 0.798 0.835
Ti2 Ti 0.798 0.202 0.335
Rh1 Rh 0.470 0.530 0.275
Rh2 Rh 0.530 0.470 0.775
N1 N 0.059 0.941 0.902
N2 N 0.276 0.724 0.483
N3 N 0.318 0.682 0.196
N4 N 0.364 0.636 0.818
N5 N 0.486 0.514 0.587
N6 N 0.514 0.486 0.087
N7 N 0.636 0.364 0.318
N8 N 0.682 0.318 0.696
N9 N 0.724 0.276 0.983
N10 N 0.941 0.059 0.402
```

***

The following is a GGA-PBE calculation of an optimized crystal structure of TmPa2RhN5, from the Alexandria database.

Results
Uncorrected formation energy   -1.145 eV/atom
Crystal system   orthorhombic
D(E_F)   5.58 states/eV/cell
Electronic total energy   -9.194 eV/atom

Cell and atoms, written as CIF:
```
data_TmPa2RhN5
_chemical_formula_sum 'Tm2 Pa4 Rh2 N10'
_cell_length_a 6.866
_cell_length_b 6.866
_cell_length_c 10.338
_cell_angle_alpha 90.00
_cell_angle_beta 90.00
_cell_angle_gamma 151.61
_space_group_name_H-M_alt 'P 1'
_space_group_IT_number 1
_space_group_name_Hall 'P 1'
loop_
_atom_site_label
_atom_site_type_symbol
_atom_site_fract_x
_atom_site_fract_y
_atom_site_fract_z
Tm1 Tm 0.199 0.801 0.500
Tm2 Tm 0.801 0.199 0.000
Pa1 Pa 0.107 0.893 0.181
Pa2 Pa 0.143 0.857 0.796
Pa3 Pa 0.857 0.143 0.296
Pa4 Pa 0.893 0.107 0.681
Rh1 Rh 0.477 0.523 0.952
Rh2 Rh 0.523 0.477 0.452
N1 N 0.045 0.955 0.580
N2 N 0.280 0.720 0.169
N3 N 0.327 0.673 0.849
N4 N 0.368 0.632 0.495
N5 N 0.482 0.518 0.267
N6 N 0.518 0.482 0.767
N7 N 0.632 0.368 0.995
N8 N 0.673 0.327 0.349
N9 N 0.720 0.280 0.669
N10 N 0.955 0.045 0.080
```